VASP calculation (GGA-PBE) on an optimized crystal structure of BeV2B2.

Output
Its volume is 100.2 Å³/cell. The calculation puts the energy above the most stable polymorph in this dataset at 4.33 eV per formula unit. As for the crystal system: tetragonal. As for the energy of formation: 0.28 eV/atom.

Cell lengths 5.913, 5.913, 2.867 Å; angles 90.00, 90.00, 90.00 degrees
Element x y z (fractional)
Be1 0.000 0.000 0.000
Be2 0.500 0.500 0.000
V1 0.142 0.358 0.000
V2 0.358 0.858 0.000
V3 0.642 0.142 0.000
V4 0.858 0.642 0.000
B1 0.169 0.669 0.500
B2 0.331 0.169 0.500
B3 0.669 0.831 0.500
B4 0.831 0.331 0.500



VASP calculation (GGA-PBE) on an optimized crystal structure of Be3VB.

Output
Its volume is 73.6 Å³/cell. The calculation puts the energy above the most stable polymorph in this dataset at 10.08 eV per formula unit. As for the crystal system: cubic. As for the energy of formation: 2.34 eV/atom.

Cell lengths 4.191, 4.191, 4.191 Å; angles 90.00, 90.00, 90.00 degrees
Element x y z (fractional)
Be1 0.000 0.000 0.500
Be2 0.000 0.500 0.000
Be3 0.500 0.000 0.000
V1 0.000 0.000 0.000
B1 0.500 0.500 0.500



VASP calculation (GGA-PBE) on an optimized crystal structure of Be3V2B2.

Output
Its volume is 128.6 Å³/cell. As for the crystal system: orthorhombic. As for the energy of formation: -0.30 eV/atom.

Cell lengths 2.898, 14.967, 2.966 Å; angles 90.00, 90.00, 90.00 degrees
Element x y z (fractional)
Be1 0.000 0.000 0.000
Be2 0.000 0.419 0.500
Be3 0.000 0.581 0.500
Be4 0.500 0.081 0.500
Be5 0.500 0.500 0.000
Be6 0.500 0.919 0.500
V1 0.000 0.171 0.000
V2 0.000 0.829 0.000
V3 0.500 0.329 0.000
V4 0.500 0.671 0.000
B1 0.000 0.283 0.500
B2 0.000 0.717 0.500
B3 0.500 0.217 0.500
B4 0.500 0.783 0.500



VASP calculation (GGA-PBE) on an optimized crystal structure of BeV2B4W2.

Output
Its volume is 91.1 Å³/cell. As for the crystal system: tetragonal. As for the energy of formation: 0.49 eV/atom.

Cell lengths 4.950, 4.950, 4.950 Å; angles 114.86, 114.86, 99.16 degrees
Element x y z (fractional)
Be1 0.000 0.000 0.000
V1 0.326 0.326 0.000
V2 0.674 0.674 0.000
B1 0.246 0.246 0.491
B2 0.246 0.754 0.000
B3 0.754 0.246 0.000
B4 0.754 0.754 0.509
W1 0.250 0.750 0.500
W2 0.750 0.250 0.500



VASP calculation (GGA-PBE) on an optimized crystal structure of BeBW2.

Output
Its volume is 184.0 Å³/cell. The calculation puts the energy above the most stable polymorph in this dataset at 3.03 eV per formula unit. As for the crystal system: cubic. As for the energy of formation: 0.39 eV/atom.

Cell lengths 5.688, 5.688, 5.688 Å; angles 90.00, 90.00, 90.00 degrees
Element x y z (fractional)
Be1 0.000 0.000 0.000
Be2 0.000 0.500 0.500
Be3 0.500 0.000 0.500
Be4 0.500 0.500 0.000
B1 0.000 0.000 0.500
B2 0.000 0.500 0.000
B3 0.500 0.000 0.000
B4 0.500 0.500 0.500
W1 0.250 0.250 0.250
W2 0.250 0.250 0.750
W3 0.250 0.750 0.250
W4 0.250 0.750 0.750
W5 0.750 0.250 0.250
W6 0.750 0.250 0.750
W7 0.750 0.750 0.250
W8 0.750 0.750 0.750



VASP calculation (GGA-PBE) on an optimized crystal structure of Be3BW.

Output
Its volume is 88.4 Å³/cell. The calculation puts the energy above the most stable polymorph in this dataset at 0.00 eV per formula unit. As for the crystal system: monoclinic. As for the energy of formation: -0.14 eV/atom.

Cell lengths 9.131, 9.131, 3.207 Å; angles 100.05, 100.05, 19.63 degrees
Element x y z (fractional)
Be1 0.029 0.029 0.279
Be2 0.200 0.200 0.950
Be3 0.299 0.299 0.549
Be4 0.701 0.701 0.451
Be5 0.800 0.800 0.050
Be6 0.971 0.971 0.721
B1 0.134 0.134 0.384
B2 0.866 0.866 0.616
W1 0.414 0.414 0.164
W2 0.586 0.586 0.836



VASP calculation (GGA-PBE) on an optimized crystal structure of BeBW4.

Output
Its volume is 154.5 Å³/cell. The calculation puts the energy above the most stable polymorph in this dataset at 0.00 eV per formula unit. As for the crystal system: tetragonal. As for the energy of formation: -0.22 eV/atom.

Cell lengths 5.670, 5.670, 4.807 Å; angles 90.00, 90.00, 90.00 degrees
Element x y z (fractional)
Be1 0.000 0.000 0.250
Be2 0.000 0.000 0.750
B1 0.500 0.500 0.250
B2 0.500 0.500 0.750
W1 0.176 0.337 0.000
W2 0.176 0.663 0.500
W3 0.337 0.176 0.500
W4 0.337 0.824 0.000
W5 0.663 0.176 0.000
W6 0.663 0.824 0.500
W7 0.824 0.337 0.500
W8 0.824 0.663 0.000



VASP calculation (GGA-PBE) on an optimized crystal structure of BeBW3.

Output
Its volume is 71.7 Å³/cell. The calculation puts the energy above the most stable polymorph in this dataset at 0.00 eV per formula unit. As for the crystal system: cubic. As for the energy of formation: 0.59 eV/atom.

Cell lengths 4.154, 4.154, 4.154 Å; angles 90.00, 90.00, 90.00 degrees
Element x y z (fractional)
Be1 0.000 0.000 0.000
B1 0.500 0.500 0.500
W1 0.000 0.500 0.500
W2 0.500 0.000 0.500
W3 0.500 0.500 0.000



Respective electronic total energy values: -6.781, -3.050, -6.415, -7.796, -8.691, -6.302, -10.585, -9.262 eV per atom.